Record 1
{"formula": "ScTi2ZnC", "functional": "PBE", "state": "optimized geometry", "dos_ef_per_ev_atom": 0.464, "spacegroup": "P4/mmm", "final_energy_ev_per_atom": -6.969, "delta_e_f_ev_per_atom": -0.445, "lattice": [[4.2060, 0.0000, 0.0000], [0.0000, 4.2060, 0.0000], [0.0000, 0.0000, 4.4227]], "species": ["Sc", "Ti", "Ti", "Zn", "C"], "fractional_positions": [[0.0000, 0.0000, 0.0000], [0.0000, 0.5000, 0.5000], [0.5000, 0.0000, 0.5000], [0.5000, 0.5000, 0.0000], [0.0000, 0.0000, 0.5000]]}



Record 2
{"formula": "Zr2ScTiC", "functional": "PBE", "state": "optimized geometry", "dos_ef_per_ev_atom": 1.228, "spacegroup": "P4/mmm", "final_energy_ev_per_atom": -8.362, "delta_e_f_ev_per_atom": -0.253, "lattice": [[4.6900, 0.0000, 0.0000], [0.0000, 4.6900, 0.0000], [0.0000, 0.0000, 4.2303]], "species": ["Zr", "Zr", "Sc", "Ti", "C"], "fractional_positions": [[0.0000, 0.5000, 0.0000], [0.5000, 0.0000, 0.0000], [0.0000, 0.0000, 0.5000], [0.5000, 0.5000, 0.5000], [0.5000, 0.5000, 0.0000]]}



Copy entry 2 word for word.
{"formula": "Zr2ScTiC", "functional": "PBE", "state": "optimized geometry", "dos_ef_per_ev_atom": 1.228, "spacegroup": "P4/mmm", "final_energy_ev_per_atom": -8.362, "delta_e_f_ev_per_atom": -0.253, "lattice": [[4.6900, 0.0000, 0.0000], [0.0000, 4.6900, 0.0000], [0.0000, 0.0000, 4.2303]], "species": ["Zr", "Zr", "Sc", "Ti", "C"], "fractional_positions": [[0.0000, 0.5000, 0.0000], [0.5000, 0.0000, 0.0000], [0.0000, 0.0000, 0.5000], [0.5000, 0.5000, 0.5000], [0.5000, 0.5000, 0.0000]]}



Which formula does entry 2 have? Zr2ScTiC